Density functional theory data (PBE+U) for an optimized crystal structure of V2InO.

Unit cell a=6.4532 b=6.4532 c=5.7335 alpha=55.75 beta=55.75 gamma=90.00
Last column: nearest neighbours and their distance in Å.
Fractional coordinates of all 8 atoms:
V (0.8750, 0.7527, 0.7500)  2 O 2.01
V (0.2473, 0.6250, 0.2500)  2 O 2.01
V (0.3750, 0.4973, 0.7500)  2 O 2.01
V (0.5027, 0.1250, 0.2500)  2 O 2.01
In (0.7500, 0.2500, 0.5000)  8 V 3.02-3.17
In (0.0000, 0.0000, 0.0000)  8 V 3.02-3.17
O (0.2500, 0.7500, 0.5000)  4 V 2.01
O (0.5000, 0.5000, 0.0000)  4 V 2.01

Results
Energy above the most stable polymorph in this dataset = 0 meV/atom
Calculated volume = 18.07 A^3/atom
Total DFT energy (no corrections) = -47.06 eV/cell


Density functional theory data (PBE+U) for an optimized crystal structure of VInO3.

Unit cell a=3.3046 b=5.4366 c=6.8539 alpha=90.00 beta=103.95 gamma=90.00
Last column: nearest neighbours and their distance in Å.
Fractional coordinates of all 10 atoms:
V (0.3057, 0.7500, 0.6115)  7 O 2.11-2.18
V (0.6943, 0.2500, 0.3885)  7 O 2.11-2.18
O (0.8218, 0.5024, 0.6435)  1 In 2.08, 3 V 2.14-2.18
O (0.4641, 0.7500, 0.9283)  2 In 2.09, 1 V 2.11
O (0.8218, 0.9976, 0.6435)  1 In 2.08, 3 V 2.14-2.18
O (0.1782, 0.0024, 0.3565)  1 In 2.08, 3 V 2.14-2.18
O (0.1782, 0.4976, 0.3565)  1 In 2.08, 3 V 2.14-2.18
O (0.5359, 0.2500, 0.0717)  2 In 2.09, 1 V 2.11
In (0.9394, 0.2500, 0.8788)  4 O 2.08-2.09
In (0.0606, 0.7500, 0.1212)  4 O 2.08-2.09

Results
Calculated volume = 11.95 A^3/atom
Total DFT energy (no corrections) = -66.42 eV/cell


Density functional theory data (PBE+U) for an optimized crystal structure of V2In2O7.

Unit cell a=7.0680 b=7.0680 c=7.0680 alpha=60.00 beta=60.00 gamma=60.00
Last column: nearest neighbours and their distance in Å.
Fractional coordinates of all 22 atoms:
In (0.6250, 0.1250, 0.6250)  2 O 2.16
In (0.1250, 0.6250, 0.6250)  2 O 2.16
In (0.6250, 0.6250, 0.6250)  2 O 2.16
In (0.6250, 0.6250, 0.1250)  2 O 2.16
O (0.0424, 0.0424, 0.4576)  2 V 1.95
O (0.5000, 0.5000, 0.5000)  4 In 2.16
O (0.0424, 0.4576, 0.4576)  2 V 1.95
O (0.7924, 0.2076, 0.7924)  2 V 1.95
O (0.2076, 0.2076, 0.7924)  2 V 1.95
O (0.4576, 0.0424, 0.0424)  2 V 1.95
O (0.7500, 0.7500, 0.7500)  4 In 2.16
O (0.2076, 0.7924, 0.7924)  2 V 1.95
O (0.2076, 0.7924, 0.2076)  2 V 1.95
O (0.0424, 0.4576, 0.0424)  2 V 1.95
O (0.4576, 0.0424, 0.4576)  2 V 1.95
O (0.4576, 0.4576, 0.0424)  2 V 1.95
O (0.7924, 0.7924, 0.2076)  2 V 1.95
O (0.7924, 0.2076, 0.2076)  2 V 1.95
V (0.6250, 0.1250, 0.1250)  6 O 1.95
V (0.1250, 0.1250, 0.1250)  6 O 1.95
V (0.1250, 0.1250, 0.6250)  6 O 1.95
V (0.1250, 0.6250, 0.1250)  6 O 1.95

Results
Calculated volume = 11.35 A^3/atom
Total DFT energy (no corrections) = -148.47 eV/cell


Density functional theory data (PBE+U) for an optimized crystal structure of V3InO9.

Unit cell a=7.3257 b=8.2596 c=9.3700 alpha=73.51 beta=66.99 gamma=63.67
Last column: nearest neighbours and their distance in Å.
Fractional coordinates of all 26 atoms:
O (0.0972, 0.7168, 0.8324)  1 V 1.69
O (0.9999, 0.0023, 0.9945)  2 V 1.79
O (0.6184, 0.4418, 0.6848)  2 V 1.79-1.80
O (0.6484, 0.7841, 0.6572)  1 V 1.69
O (0.3914, 0.5562, 0.3028)  2 V 1.79-1.80
O (0.1882, 0.0220, 0.6629)  1 V 1.69
O (0.2550, 0.9418, 0.1848)  2 V 1.79-1.80
O (0.9102, 0.2841, 0.1572)  1 V 1.69
O (0.3536, 0.2168, 0.3324)  1 V 1.69
O (0.0032, 0.5023, 0.4945)  2 V 1.79
O (0.5055, 0.2050, 0.5933)  1 V 1.69
O (0.1269, 0.5220, 0.1629)  1 V 1.69
O (0.7497, 0.0562, 0.8028)  2 V 1.79-1.80
O (0.8780, 0.4807, 0.8265)  1 V 1.69
O (0.6962, 0.7050, 0.0933)  1 V 1.69
O (0.4974, 0.7967, 0.3956)  1 V 1.69
O (0.8148, 0.9807, 0.3265)  1 V 1.69
O (0.3104, 0.2967, 0.8956)  1 V 1.69
V (0.7855, 0.5561, 0.6709)  4 O 1.69-1.80
V (0.0164, 0.9453, 0.8182)  4 O 1.69-1.80
V (0.9875, 0.0561, 0.1709)  4 O 1.69-1.80
V (0.5400, 0.2500, 0.7441)  4 O 1.69-1.79
V (0.4658, 0.7500, 0.2441)  4 O 1.69-1.79
V (0.2201, 0.4453, 0.3182)  4 O 1.69-1.80
In (0.5016, 0.0006, 0.4946)  6 O 2.16-2.18
In (0.0032, 0.5006, 0.9946)  6 O 2.16-2.18

Results
Calculated volume = 17.83 A^3/atom
Total DFT energy (no corrections) = -186.10 eV/cell


Density functional theory data (PBE+U) for an optimized crystal structure of V3InO6.

Unit cell a=3.0940 b=8.5014 c=8.5250 alpha=107.97 beta=90.00 gamma=90.00
Last column: nearest neighbours and their distance in Å.
Fractional coordinates of all 20 atoms:
O (0.7500, 0.9277, 0.0943)  3 V 2.07-2.16
O (0.7500, 0.4683, 0.6039)  4 V 2.00-2.16
O (0.7500, 0.3961, 0.0582)  4 V 2.02-2.11
O (0.2500, 0.8789, 0.5416)  3 In 2.24-2.26, 2 V 2.26
O (0.7500, 0.7187, 0.2736)  3 V 2.10-2.15
O (0.2500, 0.2084, 0.2400)  3 V 1.99-2.05
O (0.7500, 0.1211, 0.4584)  3 In 2.24-2.26, 2 V 2.26
O (0.2500, 0.2813, 0.7264)  3 V 2.10-2.15
O (0.2500, 0.0723, 0.9057)  3 V 2.07-2.16
O (0.2500, 0.6039, 0.9418)  4 V 2.02-2.11
O (0.2500, 0.5317, 0.3961)  4 V 2.00-2.16
O (0.7500, 0.7916, 0.7600)  3 V 1.99-2.05
V (0.7500, 0.1689, 0.0859)  6 O 1.99-2.16
V (0.2500, 0.8311, 0.9141)  6 O 1.99-2.16
V (0.2500, 0.3228, 0.4896)  7 O 2.03-2.26
V (0.2500, 0.5528, 0.1689)  6 O 2.00-2.11
V (0.7500, 0.4472, 0.8311)  6 O 2.00-2.11
V (0.7500, 0.6772, 0.5104)  7 O 2.03-2.26
In (0.2500, 0.9457, 0.3069)  8 O 2.24-2.47
In (0.7500, 0.0543, 0.6931)  8 O 2.24-2.47

Results
Calculated volume = 10.66 A^3/atom
Total DFT energy (no corrections) = -146.84 eV/cell


Density functional theory data (PBE+U) for an optimized crystal structure of VIn3O6.

Unit cell a=6.3778 b=6.3778 c=6.3778 alpha=91.36 beta=91.36 gamma=91.36
Last column: nearest neighbours and their distance in Å.
Fractional coordinates of all 20 atoms:
O (0.1943, 0.5394, 0.4063)  1 V 2.05, 3 In 2.17-2.25
O (0.5937, 0.8057, 0.4606)  1 V 2.05, 3 In 2.17-2.25
O (0.9282, 0.6957, 0.0844)  1 V 2.07, 3 In 2.16-2.29
O (0.4063, 0.1943, 0.5394)  1 V 2.05, 3 In 2.17-2.25
O (0.9156, 0.0718, 0.3043)  1 V 2.07, 3 In 2.16-2.29
O (0.4606, 0.5937, 0.8057)  1 V 2.05, 3 In 2.17-2.25
O (0.8057, 0.4606, 0.5937)  1 V 2.05, 3 In 2.17-2.25
O (0.3043, 0.9156, 0.0718)  1 V 2.07, 3 In 2.16-2.29
O (0.0718, 0.3043, 0.9156)  1 V 2.07, 3 In 2.16-2.29
O (0.0844, 0.9282, 0.6957)  1 V 2.07, 3 In 2.16-2.29
O (0.6957, 0.0844, 0.9282)  1 V 2.07, 3 In 2.16-2.29
O (0.5394, 0.4063, 0.1943)  1 V 2.05, 3 In 2.17-2.25
In (0.9328, 0.7492, 0.4402)  6 O 2.16-2.29
In (0.2508, 0.5598, 0.0672)  6 O 2.16-2.29
In (0.7492, 0.4402, 0.9328)  6 O 2.16-2.29
In (0.0672, 0.2508, 0.5598)  6 O 2.16-2.29
In (0.5598, 0.0672, 0.2508)  6 O 2.16-2.29
In (0.4402, 0.9328, 0.7492)  6 O 2.16-2.29
V (0.5000, 0.5000, 0.5000)  6 O 2.05
V (0.0000, 0.0000, 0.0000)  6 O 2.07

Results
Calculated volume = 12.96 A^3/atom
Total DFT energy (no corrections) = -124.43 eV/cell


Density functional theory data (PBE+U) for an optimized crystal structure of VIn6O12.

Unit cell a=6.2965 b=6.2965 c=6.2965 alpha=98.95 beta=98.95 gamma=98.95
Last column: nearest neighbours and their distance in Å.
Fractional coordinates of all 19 atoms:
O (0.0913, 0.9605, 0.2934)  1 V 1.91
O (0.9087, 0.0395, 0.7066)  1 V 1.91
O (0.7066, 0.9087, 0.0395)  1 V 1.91
O (0.8242, 0.5810, 0.4047)  4 In 2.10-2.28
O (0.5810, 0.4047, 0.8242)  4 In 2.10-2.28
O (0.4047, 0.8242, 0.5810)  4 In 2.10-2.28
O (0.5953, 0.1758, 0.4190)  4 In 2.10-2.28
O (0.1758, 0.4190, 0.5953)  4 In 2.10-2.28
O (0.9605, 0.2934, 0.0913)  1 V 1.91
O (0.2934, 0.0913, 0.9605)  1 V 1.91
O (0.0395, 0.7066, 0.9087)  1 V 1.91
O (0.4190, 0.5953, 0.1758)  4 In 2.10-2.28
In (0.3152, 0.1384, 0.6053)  6 O 2.10-2.32
In (0.1384, 0.6053, 0.3152)  6 O 2.10-2.32
In (0.8616, 0.3947, 0.6848)  6 O 2.10-2.32
In (0.6848, 0.8616, 0.3947)  6 O 2.10-2.32
In (0.6053, 0.3152, 0.1384)  6 O 2.10-2.32
In (0.3947, 0.6848, 0.8616)  6 O 2.10-2.32
V (0.0000, 0.0000, 0.0000)  6 O 1.91

Results
Calculated volume = 12.60 A^3/atom
Total DFT energy (no corrections) = -111.62 eV/cell


Density functional theory data (PBE+U) for an optimized crystal structure of VInO3.

Unit cell a=4.1096 b=4.1096 c=4.1096 alpha=90.00 beta=90.00 gamma=90.00
Last column: nearest neighbours and their distance in Å.
Fractional coordinates of all 5 atoms:
O (0.0000, 0.0000, 0.5000)  2 In 2.05
O (0.0000, 0.5000, 0.0000)  2 In 2.05
O (0.5000, 0.0000, 0.0000)  2 In 2.05
V (0.5000, 0.5000, 0.5000)  12 O 2.91
In (0.0000, 0.0000, 0.0000)  6 O 2.05

Results
Calculated volume = 13.88 A^3/atom
Total DFT energy (no corrections) = -27.46 eV/cell